No. 1
A plane-wave DFT calculation with PBEsol was carried out for a relaxed BaCa2Be crystal.

Energy of formation from the pure elements: 0.42 eV/atom

Structure (CIF):
```
data_BaCa2Be
_cell_length_a 9.341
_cell_length_b 9.341
_cell_length_c 6.794
_cell_angle_alpha 90.00
_cell_angle_beta 90.00
_cell_angle_gamma 90.00
_space_group_name_H-M_alt 'I -4 2 d'
_space_group_IT_number 122
_space_group_name_Hall 'I -4 2bw'
loop_
_atom_site_label
_atom_site_fract_x
_atom_site_fract_y
_atom_site_fract_z
Ba1 0.000 0.000 0.000
Ca1 0.155 0.250 0.625
Be1 0.000 0.000 0.500
```



No. 2
A plane-wave DFT calculation with PBEsol was carried out for a relaxed CuO crystal.

Formation energy (no corrections): -0.284 eV/atom

Structure (CIF):
```
data_CuO
_cell_length_a 3.877
_cell_length_b 3.877
_cell_length_c 3.877
_cell_angle_alpha 90.00
_cell_angle_beta 90.00
_cell_angle_gamma 90.00
_space_group_name_H-M_alt 'P m -3 m'
_space_group_IT_number 221
_space_group_name_Hall '-P 4 2 3'
loop_
_atom_site_label
_atom_site_fract_x
_atom_site_fract_y
_atom_site_fract_z
Cu1 0.000 0.000 0.500
O1 0.000 0.500 0.500
```



No. 3
A plane-wave DFT calculation with PBEsol was carried out for a relaxed Nb2PC crystal.

Energy of formation from the pure elements: -0.83 eV/atom

Structure (CIF):
```
data_Nb2PC
_cell_length_a 3.2784
_cell_length_b 3.2784
_cell_length_c 11.5787
_cell_angle_alpha 90.00
_cell_angle_beta 90.00
_cell_angle_gamma 120.00
_space_group_name_H-M_alt 'P 63/m m c'
_space_group_IT_number 194
_space_group_name_Hall '-P 6c 2c'
loop_
_atom_site_label
_atom_site_fract_x
_atom_site_fract_y
_atom_site_fract_z
Nb1 0.3333 0.6667 0.1001
P1 0.3333 0.6667 0.7500
C1 0.0000 0.0000 0.0000
```



No. 4
A plane-wave DFT calculation with PBEsol was carried out for a relaxed Pu2US5 crystal.

Formation energy (no corrections): -1.540 eV/atom

Structure (CIF):
```
data_Pu2US5
_cell_length_a 11.119
_cell_length_b 7.840
_cell_length_c 7.151
_cell_angle_alpha 90.00
_cell_angle_beta 90.00
_cell_angle_gamma 90.00
_space_group_name_H-M_alt 'P n m a'
_space_group_IT_number 62
loop_
_space_group_symop_operation_xyz
'x,y,z'
'-x,-y,-z'
'-x+1/2,-y,z+1/2'
'x+1/2,y,-z+1/2'
'x+1/2,-y+1/2,-z+1/2'
'-x+1/2,y+1/2,z+1/2'
'-x,y+1/2,-z'
'x,-y+1/2,z'
loop_
_atom_site_label
_atom_site_fract_x
_atom_site_fract_y
_atom_site_fract_z
Pu1 0.177 0.003 0.030
U1 0.012 0.250 0.581
S1 0.001 0.750 0.037
S2 0.090 0.550 0.673
S3 0.192 0.250 0.335
S4 0.221 0.750 0.303
```



No. 5
A plane-wave DFT calculation with PBEsol was carried out for a relaxed Be2CuAu crystal.

Energy of formation from the pure elements: -0.14 eV/atom

Structure (CIF):
```
data_Be2CuAu
_cell_length_a 2.833
_cell_length_b 2.833
_cell_length_c 5.497
_cell_angle_alpha 90.00
_cell_angle_beta 90.00
_cell_angle_gamma 90.00
_space_group_name_H-M_alt 'P 4/m m m'
_space_group_IT_number 123
_space_group_name_Hall '-P 4 2'
loop_
_atom_site_label
_atom_site_fract_x
_atom_site_fract_y
_atom_site_fract_z
Be1 0.000 0.000 0.219
Cu1 0.500 0.500 0.000
Au1 0.500 0.500 0.500
```



No. 6
A plane-wave DFT calculation with PBEsol was carried out for a relaxed ZrCrAgS4 crystal.

Formation energy (no corrections): -0.918 eV/atom

Structure (CIF):
```
data_ZrCrAgS4
_cell_length_a 6.003
_cell_length_b 7.077
_cell_length_c 13.394
_cell_angle_alpha 75.05
_cell_angle_beta 87.42
_cell_angle_gamma 90.00
_space_group_name_H-M_alt 'P 1'
_space_group_IT_number 1
loop_
_space_group_symop_operation_xyz
'x,y,z'
loop_
_atom_site_label
_atom_site_fract_x
_atom_site_fract_y
_atom_site_fract_z
Zr1 0.000 0.000 0.000
Zr2 0.005 0.496 0.009
Zr3 0.475 0.780 0.495
Zr4 0.968 0.477 0.488
Cr1 0.466 0.259 0.493
Cr2 0.520 0.241 0.000
Cr3 0.521 0.742 0.002
Cr4 0.965 0.004 0.495
Ag1 0.024 0.609 0.778
Ag2 0.088 0.469 0.249
Ag3 0.429 0.151 0.738
Ag4 0.537 0.953 0.261
S1 0.107 0.709 0.599
S2 0.134 0.184 0.603
S3 0.208 0.297 0.890
S4 0.210 0.800 0.893
S5 0.293 0.083 0.387
S6 0.332 0.552 0.381
S7 0.356 0.942 0.103
S8 0.365 0.442 0.106
S9 0.612 0.447 0.602
S10 0.636 0.973 0.603
S11 0.669 0.045 0.891
S12 0.672 0.546 0.894
S13 0.794 0.279 0.383
S14 0.821 0.185 0.118
S15 0.822 0.694 0.120
S16 0.836 0.818 0.384
```



No. 7
A plane-wave DFT calculation with PBEsol was carried out for a relaxed TaIrBr2 crystal.

Formation energy (no corrections): 0.862 eV/atom

Structure (CIF):
```
data_TaIrBr2
_cell_length_a 6.453
_cell_length_b 6.453
_cell_length_c 6.453
_cell_angle_alpha 90.00
_cell_angle_beta 90.00
_cell_angle_gamma 90.00
_space_group_name_H-M_alt 'F m -3 m'
_space_group_IT_number 225
_space_group_name_Hall '-F 4 2 3'
loop_
_atom_site_label
_atom_site_fract_x
_atom_site_fract_y
_atom_site_fract_z
Ta1 0.000 0.000 0.000
Ir1 0.000 0.000 0.500
Br1 0.250 0.250 0.250
```



No. 8
A plane-wave DFT calculation with PBEsol was carried out for a relaxed NaCdSb crystal.

Formation energy (no corrections): -0.323 eV/atom

Structure (CIF):
```
data_NaCdSb
_cell_length_a 7.919
_cell_length_b 4.709
_cell_length_c 8.438
_cell_angle_alpha 90.00
_cell_angle_beta 90.00
_cell_angle_gamma 90.00
_space_group_name_H-M_alt 'P n m a'
_space_group_IT_number 62
loop_
_space_group_symop_operation_xyz
'x,y,z'
'-x,-y,-z'
'-x+1/2,-y,z+1/2'
'x+1/2,y,-z+1/2'
'x+1/2,-y+1/2,-z+1/2'
'-x+1/2,y+1/2,z+1/2'
'-x,y+1/2,-z'
'x,-y+1/2,z'
loop_
_atom_site_label
_atom_site_fract_x
_atom_site_fract_y
_atom_site_fract_z
Na1 0.013 0.250 0.181
Cd1 0.151 0.250 0.577
Sb1 0.222 0.750 0.394
```



No. 9
A plane-wave DFT calculation with PBEsol was carried out for a relaxed CaMgCd4 crystal.

Energy of formation from the pure elements: -0.20 eV/atom

Structure (CIF):
```
data_CaMgCd4
_cell_length_a 8.207
_cell_length_b 8.207
_cell_length_c 8.207
_cell_angle_alpha 90.00
_cell_angle_beta 90.00
_cell_angle_gamma 90.00
_space_group_name_H-M_alt 'F -4 3 m'
_space_group_IT_number 216
_space_group_name_Hall 'F -4 2 3'
loop_
_atom_site_label
_atom_site_fract_x
_atom_site_fract_y
_atom_site_fract_z
Ca1 0.000 0.000 0.000
Mg1 0.250 0.250 0.750
Cd1 0.125 0.125 0.375
```



No. 10
A plane-wave DFT calculation with PBEsol was carried out for a relaxed Y2ZrTa crystal.

Energy of formation from the pure elements: 0.23 eV/atom

Structure (CIF):
```
data_Y2ZrTa
_cell_length_a 5.013
_cell_length_b 3.212
_cell_length_c 12.150
_cell_angle_alpha 90.00
_cell_angle_beta 90.00
_cell_angle_gamma 90.00
_space_group_name_H-M_alt 'A m m 2'
_space_group_IT_number 38
loop_
_space_group_symop_operation_xyz
'x,y,z'
'-x,-y,z'
'-x,y,z'
'x,-y,z'
'x,y+1/2,z+1/2'
'-x,-y+1/2,z+1/2'
'-x,y+1/2,z+1/2'
'x,-y+1/2,z+1/2'
loop_
_atom_site_label
_atom_site_fract_x
_atom_site_fract_y
_atom_site_fract_z
Y1 0.000 0.000 0.000
Y2 0.500 0.000 0.347
Zr1 0.500 0.000 0.623
Ta1 0.000 0.000 0.729
```



No. 11
A plane-wave DFT calculation with PBEsol was carried out for a relaxed Te2RhW crystal.

Formation energy (no corrections): 0.299 eV/atom

Structure (CIF):
```
data_Te2RhW
_cell_length_a 3.2904
_cell_length_b 3.2904
_cell_length_c 23.9984
_cell_angle_alpha 90.00
_cell_angle_beta 90.00
_cell_angle_gamma 120.00
_space_group_name_H-M_alt 'R -3 m'
_space_group_IT_number 166
_space_group_name_Hall '-R 3 2"'
loop_
_atom_site_label
_atom_site_fract_x
_atom_site_fract_y
_atom_site_fract_z
Te1 0.0000 0.0000 0.2504
Rh1 0.0000 0.0000 0.5000
W1 0.0000 0.0000 0.0000
```



No. 12
A plane-wave DFT calculation with PBEsol was carried out for a relaxed Li2TiFeP3O12 crystal.

Formation energy (no corrections): -2.304 eV/atom

Structure (CIF):
```
data_Li2TiFeP3O12
_cell_length_a 8.653
_cell_length_b 8.589
_cell_length_c 11.985
_cell_angle_alpha 90.00
_cell_angle_beta 90.00
_cell_angle_gamma 90.00
_space_group_name_H-M_alt 'P n a 21'
_space_group_IT_number 33
loop_
_space_group_symop_operation_xyz
'x,y,z'
'-x,-y,z+1/2'
'-x+1/2,y+1/2,z+1/2'
'x+1/2,-y+1/2,z'
loop_
_atom_site_label
_atom_site_fract_x
_atom_site_fract_y
_atom_site_fract_z
Li1 0.217 0.035 0.000
Li2 0.227 0.533 0.866
Ti1 0.038 0.503 0.071
Fe1 0.037 0.002 0.795
P1 0.106 0.356 0.331
P2 0.109 0.851 0.538
P3 0.245 0.289 0.684
O1 0.008 0.074 0.959
O2 0.019 0.577 0.911
O3 0.060 0.411 0.211
O4 0.072 0.897 0.658
O5 0.105 0.671 0.526
O6 0.108 0.179 0.338
O7 0.130 0.196 0.752
O8 0.145 0.684 0.116
O9 0.159 0.392 0.596
O10 0.168 0.901 0.260
O11 0.224 0.406 0.007
O12 0.235 0.922 0.862
```



What did the twelfth record say?
A plane-wave DFT calculation with PBEsol was carried out for a relaxed Li2TiFeP3O12 crystal.

Formation energy (no corrections): -2.304 eV/atom

Structure (CIF):
```
data_Li2TiFeP3O12
_cell_length_a 8.653
_cell_length_b 8.589
_cell_length_c 11.985
_cell_angle_alpha 90.00
_cell_angle_beta 90.00
_cell_angle_gamma 90.00
_space_group_name_H-M_alt 'P n a 21'
_space_group_IT_number 33
loop_
_space_group_symop_operation_xyz
'x,y,z'
'-x,-y,z+1/2'
'-x+1/2,y+1/2,z+1/2'
'x+1/2,-y+1/2,z'
loop_
_atom_site_label
_atom_site_fract_x
_atom_site_fract_y
_atom_site_fract_z
Li1 0.217 0.035 0.000
Li2 0.227 0.533 0.866
Ti1 0.038 0.503 0.071
Fe1 0.037 0.002 0.795
P1 0.106 0.356 0.331
P2 0.109 0.851 0.538
P3 0.245 0.289 0.684
O1 0.008 0.074 0.959
O2 0.019 0.577 0.911
O3 0.060 0.411 0.211
O4 0.072 0.897 0.658
O5 0.105 0.671 0.526
O6 0.108 0.179 0.338
O7 0.130 0.196 0.752
O8 0.145 0.684 0.116
O9 0.159 0.392 0.596
O10 0.168 0.901 0.260
O11 0.224 0.406 0.007
O12 0.235 0.922 0.862
```